# 1
SrHg2MoRh: relaxed, GGA-PBE.

Values from the calculation:
Fermi-level density of states, states/eV/f.u.: 10.63
SG: P4/mmm, No. 123
Spin magnetization, μB/cell: 5.333
Formation enthalpy at 0 K, eV/atom: 2.029

```
SrHg2MoRh
1.0
5.750 0.000 0.000
0.000 5.750 0.000
0.000 0.000 5.784
Sr Hg Mo Rh
1 2 1 1
Cartesian
0.000 0.000 0.000
0.000 2.875 0.000
2.875 0.000 0.000
0.000 0.000 2.892
2.875 2.875 2.892
```

***

# 2
CuRhCS: relaxed, GGA-PBE.

Values from the calculation:
Fermi-level density of states, states/eV/f.u.: 0.63
SG: Pmm2, No. 25
Formation energy without anion corrections, meV per atom: 371
Distance to the lowest polymorph of the same formula, eV per formula unit: 0.13
Spin magnetization, μB/cell: 0.000

```
CuRhCS
1.0
3.477 0.000 0.000
0.000 3.800 0.000
0.000 0.000 4.457
Cu Rh C S
1 1 1 1
Cartesian
0.000 0.000 0.000
1.739 1.900 3.829
0.000 1.900 0.654
0.000 1.900 2.332
```

***

# 3
CePmTm2Sb4: relaxed, GGA-PBE.

Values from the calculation:
Fermi-level density of states, states/eV/f.u.: 7.46
SG: P2/m, No. 10
Formation energy without anion corrections, meV per atom: -1090
Spin magnetization, μB/cell: 0.733

```
CePmTm2Sb4
1.0
7.633 0.000 0.000
0.000 4.419 0.000
-2.549 0.000 7.221
Ce Pm Tm Sb
1 1 2 4
Cartesian
0.000 0.000 0.000
-1.275 2.210 3.610
2.542 0.000 3.610
3.817 2.210 0.000
0.060 0.000 5.446
1.339 2.210 1.826
5.024 0.000 1.774
3.745 2.210 5.395
```

***

# 4
TaMnH2: relaxed, GGA-PBE.

Values from the calculation:
SG: Pna2_1, No. 33
Distance to the lowest polymorph of the same formula, eV per formula unit: 0.00
Spin magnetization, μB/cell: 0.000

```
TaMnH2
1.0
5.768 0.000 0.000
0.000 5.517 0.000
0.000 0.000 4.305
Ta Mn H
4 4 8
Cartesian
0.935 0.712 0.000
1.949 3.470 2.152
3.819 2.047 0.000
4.833 4.805 2.152
0.224 3.809 0.055
2.660 1.051 2.207
3.108 4.466 0.055
5.544 1.708 2.207
0.092 3.277 2.776
0.952 0.454 2.169
1.932 3.213 0.017
2.792 0.519 0.624
2.976 4.998 2.776
3.836 2.304 2.169
4.816 5.062 0.017
5.676 2.240 0.624
```

***

# 5
LiLa2Ge: relaxed, GGA-PBE.

Values from the calculation:
Fermi-level density of states, states/eV/f.u.: 3.82
SG: I-42d, No. 122
Spin magnetization, μB/cell: 0.605
Formation enthalpy at 0 K, eV/atom: -0.117

```
LiLa2Ge
1.0
-4.258 4.258 3.210
4.258 -4.258 3.210
4.258 4.258 -3.210
Li La Ge
2 4 2
Cartesian
0.000 0.000 0.000
0.000 4.258 1.605
2.129 -1.969 2.407
2.289 2.129 0.802
2.129 6.227 -0.802
1.969 2.129 4.012
4.258 0.000 1.605
0.000 0.000 3.210
```

***

# 6
TlSbTe2C: relaxed, GGA-PBE.

Values from the calculation:
Fermi-level density of states, states/eV/f.u.: 3.70
SG: P4/mmm, No. 123
Formation energy without anion corrections, meV per atom: 867
Distance to the lowest polymorph of the same formula, eV per formula unit: 0.00
Spin magnetization, μB/cell: 0.000

```
TlSbTe2C
1.0
5.062 0.000 0.000
0.000 5.062 0.000
0.000 0.000 4.804
Tl Sb Te C
1 1 2 1
Cartesian
0.000 0.000 0.000
2.531 2.531 0.000
0.000 2.531 2.402
2.531 0.000 2.402
2.531 2.531 2.402
```

***

# 7
PtRh4W2: relaxed, GGA-PBE.

Values from the calculation:
Fermi-level density of states, states/eV/f.u.: 8.66
SG: I4/mcm, No. 140
Spin magnetization, μB/cell: 0.000
Formation enthalpy at 0 K, eV/atom: 0.218

```
PtRh4W2
1.0
-3.729 3.729 4.197
3.729 -3.729 4.197
3.729 3.729 -4.197
Pt Rh W
2 8 4
Cartesian
0.000 0.000 2.098
0.000 0.000 6.295
2.626 -1.103 1.341
4.832 -1.103 2.856
4.832 1.103 1.341
2.626 1.103 2.856
1.103 2.626 1.341
-1.103 2.626 2.856
-1.103 4.832 1.341
1.103 4.832 2.856
2.627 1.102 0.000
2.627 -1.102 4.197
1.102 4.831 0.000
1.102 2.627 4.197
```

***

# 8
Ag2Hg2I: relaxed, GGA-PBE.

Values from the calculation:
Fermi-level density of states, states/eV/f.u.: 1.29
SG: P4/mbm, No. 127
Formation energy without anion corrections, meV per atom: 152
Distance to the lowest polymorph of the same formula, eV per formula unit: 0.32
Spin magnetization, μB/cell: 0.000

```
Ag2Hg2I
1.0
9.085 0.000 0.000
0.000 9.085 0.000
0.000 0.000 3.049
Ag Hg I
4 4 2
Cartesian
1.005 3.538 0.000
3.538 8.080 0.000
5.547 1.005 0.000
8.080 5.547 0.000
1.669 6.212 1.525
2.873 1.669 1.525
6.212 7.415 1.525
7.415 2.873 1.525
0.000 0.000 1.525
4.542 4.542 1.525
```

***

| no. | electronic total energy (eV per atom) |
| --- | --- |
| 1 | -2.065 |
| 2 | -5.829 |
| 3 | -5.605 |
| 4 | -6.982 |
| 5 | -4.214 |
| 6 | -3.532 |
| 7 | -8.546 |
| 8 | -1.420 |